# 1
An optimized crystal structure of Ti2MnBi. Source: the Alexandria database, functional PBE-GGA.

For the density of states at the Fermi level, the calculation gives 0.793 states/eV per atom. For the energy relative to the elements, the calculation gives 0.31 eV per atom.

It has space group I-42d (No. 122), with a = 7.3027 Å, b = 7.3027 Å, c = 5.5351 Å, α = 90.00°, β = 90.00° and γ = 90.00°. The distinct sites, in fractional coordinates, are Ti at (0.1787, 0.7500, 0.1250), Mn at (0.0000, 0.0000, 0.0000) and Bi at (0.0000, 0.0000, 0.5000).

# 2
An optimized crystal structure of Ac3ErSn3. Source: the Alexandria database, functional PBE-GGA.

For the density of states at the Fermi level, the calculation gives 0.628 states/eV per atom. For the energy relative to the elements, the calculation gives -0.47 eV per atom.

It has space group C2/m (No. 12), with a = 9.1906 Å, b = 13.8712 Å, c = 8.5204 Å, α = 90.00°, β = 94.61° and γ = 90.00°. The distinct sites, in fractional coordinates, are Ac at (0.0000, 0.1621, 0.0000), Ac at (0.0000, 0.2302, 0.5000), Ac at (0.1112, 0.5000, 0.8441), Er at (0.2342, 0.0000, 0.6058), Sn at (0.0719, 0.0000, 0.2912) and Sn at (0.1836, 0.3289, 0.2032).

# 3
An optimized crystal structure of PuHg5Au2. Source: the Alexandria database, functional PBE-GGA.

For the density of states at the Fermi level, the calculation gives 1.971 states/eV per atom. For the energy relative to the elements, the calculation gives -0.06 eV per atom.

It has space group C2/m (No. 12), with a = 7.1381 Å, b = 7.2139 Å, c = 8.0943 Å, α = 90.00°, β = 115.98° and γ = 90.00°. The distinct sites, in fractional coordinates, are Pu at (0.0000, 0.0000, 0.0000), Hg at (0.0000, 0.5000, 0.0000), Hg at (0.1137, 0.2504, 0.7263) and Au at (0.2314, 0.0000, 0.4658).

# 4
An optimized crystal structure of CoGeS2Cl. Source: the Alexandria database, functional PBE-GGA.

For the density of states at the Fermi level, the calculation gives 0.903 states/eV per atom. As for the offset from the most stable computed form: 0 meV per atom.

It has space group P4/mmm (No. 123), with a = 4.4771 Å, b = 4.4771 Å, c = 4.6129 Å, α = 90.00°, β = 90.00° and γ = 90.00°. The distinct sites, in fractional coordinates, are Co at (0.0000, 0.0000, 0.0000), Ge at (0.5000, 0.5000, 0.5000), S at (0.0000, 0.5000, 0.0000) and Cl at (0.0000, 0.0000, 0.5000).

# 5
An optimized crystal structure of Mg2Au. Source: the Alexandria database, functional PBE-GGA.

For the density of states at the Fermi level, the calculation gives 0.361 states/eV per atom. For the energy relative to the elements, the calculation gives -0.25 eV per atom.

It has space group P-3m1 (No. 164), with a = 3.3279 Å, b = 3.3279 Å, c = 6.6312 Å, α = 90.00°, β = 90.00° and γ = 120.00°. The distinct sites, in fractional coordinates, are Mg at (0.3333, 0.6667, 0.1961) and Au at (0.0000, 0.0000, 0.5000).

# 6
An optimized crystal structure of Hf6MnPt2. Source: the Alexandria database, functional PBE-GGA.

For the density of states at the Fermi level, the calculation gives 1.105 states/eV per atom. For the energy relative to the elements, the calculation gives -0.52 eV per atom.

It has space group Amm2 (No. 38), with a = 3.3914 Å, b = 13.7607 Å, c = 7.4396 Å, α = 90.00°, β = 90.00° and γ = 90.00°. The distinct sites, in fractional coordinates, are Hf at (0.0000, 0.0000, 0.0000), Hf at (0.0000, 0.1293, 0.6571), Hf at (0.5000, 0.0000, 0.3614), Hf at (0.5000, 0.1934, 0.9955), Mn at (0.5000, 0.0000, 0.7356) and Pt at (0.0000, 0.1622, 0.2888).

# 7
An optimized crystal structure of EuGd2Sc. Source: the Alexandria database, functional PBE-GGA.

For the density of states at the Fermi level, the calculation gives 1.355 states/eV per atom. For the energy relative to the elements, the calculation gives 0.07 eV per atom. As for the offset from the most stable computed form: 0 meV per atom.

It has space group P4/mmm (No. 123), with a = 3.6634 Å, b = 3.6634 Å, c = 9.6329 Å, α = 90.00°, β = 90.00° and γ = 90.00°. The distinct sites, in fractional coordinates, are Eu at (0.0000, 0.0000, 0.0000), Gd at (0.5000, 0.5000, 0.2819) and Sc at (0.0000, 0.0000, 0.5000).

# 8
An optimized crystal structure of BSbSe2. Source: the Alexandria database, functional PBE-GGA.

As for the offset from the most stable computed form: 30 meV per atom.

It has space group P1 (No. 1), with a = 5.4138 Å, b = 7.5277 Å, c = 7.6320 Å, α = 64.41°, β = 72.10° and γ = 87.96°. The distinct sites, in fractional coordinates, are B at (0.0000, 0.0000, 0.0000), B at (0.0081, 0.2268, 0.9972), Sb at (0.0437, 0.4644, 0.3071), Sb at (0.4322, 0.6611, 0.9083), Se at (0.1626, 0.9599, 0.7566), Se at (0.3360, 0.3869, 0.8037), Se at (0.7439, 0.2839, 0.2022) and Se at (0.8574, 0.7960, 0.2847).

# 9
An optimized crystal structure of NbH2I6. Source: the Alexandria database, functional PBE-GGA.

Its final energy is -3.094 eV/atom. For the density of states at the Fermi level, the calculation gives 0.115 states/eV per atom.

It has space group C2/c (No. 15), with a = 17.7939 Å, b = 13.6077 Å, c = 6.5699 Å, α = 90.00°, β = 106.76° and γ = 90.00°. The distinct sites, in fractional coordinates, are Nb at (0.0000, 0.0003, 0.2500), H at (0.1353, 0.4815, 0.3212), I at (0.0556, 0.1662, 0.0422), I at (0.1330, 0.0695, 0.6044) and I at (0.1340, 0.3970, 0.5020).

# 10
An optimized crystal structure of TaAgBi2. Source: the Alexandria database, functional PBE-GGA.

For the density of states at the Fermi level, the calculation gives 0.000 states/eV per atom. For the energy relative to the elements, the calculation gives 0.79 eV per atom.

It has space group I-42d (No. 122), with a = 6.6400 Å, b = 6.6400 Å, c = 12.6337 Å, α = 90.00°, β = 90.00° and γ = 90.00°. The distinct sites, in fractional coordinates, are Ta at (0.0000, 0.0000, 0.0000), Ag at (0.0000, 0.0000, 0.5000) and Bi at (0.2336, 0.2500, 0.1250).

# 11
An optimized crystal structure of CsK2Hg6. Source: the Alexandria database, functional PBE-GGA.

For the density of states at the Fermi level, the calculation gives 0.587 states/eV per atom. For the energy relative to the elements, the calculation gives -0.22 eV per atom. As for the offset from the most stable computed form: 30 meV per atom.

It has space group C2/m (No. 12), with a = 14.5422 Å, b = 9.4740 Å, c = 5.6386 Å, α = 90.00°, β = 112.45° and γ = 90.00°. The distinct sites, in fractional coordinates, are Cs at (0.0000, 0.0000, 0.0000), K at (0.1461, 0.5000, 0.1478), Hg at (0.0000, 0.3298, 0.5000) and Hg at (0.2327, 0.3248, 0.7335).

# 12
An optimized crystal structure of HoUPb2O8. Source: the Alexandria database, functional PBE-GGA.

Its final energy is -7.429 eV/atom. For the density of states at the Fermi level, the calculation gives 0.236 states/eV per atom.

It has space group Cmmm (No. 65), with a = 7.3018 Å, b = 7.3457 Å, c = 6.9397 Å, α = 90.00°, β = 90.00° and γ = 90.00°. The distinct sites, in fractional coordinates, are Ho at (0.0000, 0.0000, 0.0000), U at (0.0000, 0.0000, 0.5000), Pb at (0.0000, 0.5000, 0.2472), O at (0.0000, 0.1799, 0.2705), O at (0.1932, 0.5000, 0.0000) and O at (0.2028, 0.5000, 0.5000).